1.
Ba3NbN: optimized geometry, PBE.

The magnetization comes out at 5.3 μB/cell. As for the distance to the lowest polymorph of the same formula: 0.0 meV/atom.

The space group is Pm-3m (No. 221) and the conventional cell measures 5.637, 5.637 and 5.637 Å, with angles of 90.00, 90.00 and 90.00 degrees. The inequivalent atoms are Ba at (0.000, 0.000, 0.500), Nb at (0.500, 0.500, 0.500) and N at (0.000, 0.000, 0.000).


2.
BaNb3N: optimized geometry, PBE.

The magnetization comes out at 0.0 μB/cell. As for the distance to the lowest polymorph of the same formula: 3222.1 meV/atom.

The space group is Pm-3m (No. 221) and the conventional cell measures 5.038, 5.038 and 5.038 Å, with angles of 90.00, 90.00 and 90.00 degrees. The inequivalent atoms are Ba at (0.000, 0.000, 0.000), Nb at (0.000, 0.000, 0.500) and N at (0.500, 0.500, 0.500).


3.
BaNbNiN3: optimized geometry, PBE.

The magnetization comes out at 1.9 μB/cell.

The space group is P2_1/m (No. 11) and the conventional cell measures 7.208, 3.326 and 7.873 Å, with angles of 90.00, 110.32 and 90.00 degrees. The inequivalent atoms are Ba at (0.224, 0.250, 0.246), Nb at (0.320, 0.750, 0.866), Ni at (0.091, 0.250, 0.602), N at (0.141, 0.250, 0.868), N at (0.195, 0.750, 0.549) and N at (0.464, 0.750, 0.137).


4.
Ba2NpNbN5: optimized geometry, PBE.

The magnetization comes out at 4.0 μB/cell.

The space group is Cmc2_1 (No. 36) and the conventional cell measures 3.524, 14.662 and 12.044 Å, with angles of 90.00, 90.00 and 90.00 degrees. The inequivalent atoms are Ba at (0.000, 0.107, 0.000), Ba at (0.000, 0.140, 0.582), Np at (0.000, 0.216, 0.306), Nb at (0.000, 0.495, 0.762), N at (0.000, 0.058, 0.322), N at (0.000, 0.279, 0.912), N at (0.000, 0.298, 0.701), N at (0.000, 0.372, 0.298) and N at (0.000, 0.498, 0.107).


5.
BaNbN2O: optimized geometry, PBE.

The magnetization comes out at 0.1 μB/cell.

The space group is P4/mmm (No. 123) and the conventional cell measures 4.487, 4.487 and 4.517 Å, with angles of 90.00, 90.00 and 90.00 degrees. The inequivalent atoms are Ba at (0.000, 0.000, 0.000), Nb at (0.500, 0.500, 0.500), N at (0.000, 0.500, 0.000) and O at (0.000, 0.000, 0.500).


6.
BaNbN2O: optimized geometry, PBE.

The magnetization comes out at 0.3 μB/cell.

The space group is P4/mmm (No. 123) and the conventional cell measures 4.164, 4.164 and 4.249 Å, with angles of 90.00, 90.00 and 90.00 degrees. The inequivalent atoms are Ba at (0.000, 0.000, 0.000), Nb at (0.500, 0.500, 0.500), N at (0.000, 0.500, 0.500) and O at (0.500, 0.500, 0.000).


7.
Ba3Nb2N4O2: optimized geometry, PBE.

The magnetization comes out at 0.0 μB/cell.

The space group is I4/mmm (No. 139) and the conventional cell measures 4.142, 4.142 and 22.465 Å, with angles of 90.00, 90.00 and 90.00 degrees. The inequivalent atoms are Ba at (0.000, 0.000, 0.000), Ba at (0.000, 0.000, 0.181), Nb at (0.000, 0.000, 0.395), N at (0.000, 0.500, 0.090) and O at (0.000, 0.000, 0.308).


8.
BaNb4NO5: optimized geometry, PBE.

The magnetization comes out at 0.0 μB/cell.

The space group is P4/mmm (No. 123) and the conventional cell measures 4.245, 4.245 and 8.352 Å, with angles of 90.00, 90.00 and 90.00 degrees. The inequivalent atoms are Ba at (0.000, 0.000, 0.000), Nb at (0.000, 0.500, 0.500), Nb at (0.500, 0.500, 0.241), N at (0.500, 0.500, 0.000), O at (0.000, 0.000, 0.500) and O at (0.000, 0.500, 0.246).


| no. | formation energy from raw total energies (eV/f.u.) |
| --- | --- |
| 1 | 2.4 |
| 2 | 18.1 |
| 3 | -2.9 |
| 4 | -8.3 |
| 5 | 9.2 |
| 6 | -6.2 |
| 7 | -15.6 |
| 8 | -22.8 |